(1)
Ac2Pm2Au3 | Alexandria via LeMat-Bulk | PBE-GGA | optimized geometry; DFT formation energy = -0.607 eV/atom; size of the total moment = 0.000 μB per atom; SG = I2_13 (199)
1.0
7.7214 0.0000 -2.7299
-3.8607 6.6870 -2.7299
0.0000 0.0000 8.1898
Ac Pm Au
4 4 6
Direct
0.5000 0.3674 0.5000
0.0000 0.0000 0.3674
0.6326 0.1326 0.1326
0.8674 0.5000 0.0000
0.0000 0.0000 0.8658
0.5000 0.8658 0.5000
0.1342 0.6342 0.6342
0.3658 0.5000 0.0000
0.7500 0.6352 0.3852
0.2500 0.8648 0.1148
0.6148 0.7500 0.8648
0.8852 0.2500 0.6352
0.3648 0.1148 0.7500
0.1352 0.3852 0.2500

---

(2)
NaZnGa3 | Alexandria via LeMat-Bulk | PBE-GGA | optimized geometry; polymorph energy (0 for the lowest one) = 868.0 meV/atom; DFT formation energy = 0.757 eV/atom; size of the total moment = 0.000 μB per atom; SG = Pm-3m (221)
1.0
5.2181 0.0000 0.0000
0.0000 5.2181 0.0000
0.0000 0.0000 5.2181
Na Zn Ga
1 1 3
Direct
0.0000 0.0000 0.0000
0.5000 0.5000 0.5000
0.0000 0.5000 0.0000
0.0000 0.0000 0.5000
0.5000 0.0000 0.0000

---

(3)
TlAsRh4 | Alexandria via LeMat-Bulk | PBE-GGA | optimized geometry; DFT formation energy = 0.305 eV/atom; size of the total moment = 0.000 μB per atom; SG = F-43m (216)
1.0
0.0000 3.7071 3.7071
3.7071 0.0000 3.7071
3.7071 3.7071 0.0000
Tl As Rh
1 1 4
Direct
0.7500 0.7500 0.7500
0.0000 0.0000 0.0000
0.8758 0.3747 0.3747
0.3747 0.3747 0.8758
0.3747 0.8758 0.3747
0.3747 0.3747 0.3747

---

(4)
Fe3MoRh | Alexandria via LeMat-Bulk | PBE-GGA | optimized geometry; polymorph energy (0 for the lowest one) = 404.0 meV/atom; DFT formation energy = 1.925 eV/atom; size of the total moment = 0.477 μB per atom; SG = Pm-3m (221)
1.0
4.3491 0.0000 0.0000
0.0000 4.3491 0.0000
0.0000 0.0000 4.3491
Mo Rh Fe
1 1 3
Direct
0.5000 0.5000 0.5000
0.0000 0.0000 0.0000
0.0000 0.5000 0.0000
0.0000 0.0000 0.5000
0.5000 0.0000 0.0000

---

(5)
MnAg2BiS4 | Alexandria via LeMat-Bulk | PBE-GGA | optimized geometry; E_form (uncorrected) = -0.24 eV/atom; size of the total moment = 0.500 μB per atom; SG = Pmn2_1 (31)
1.0
-5.3662 -2.3409 3.2205
-0.3536 -5.3165 -4.4537
5.0346 -4.5761 5.0629
Mn Ag Bi S
2 4 2 8
Direct
0.5033 0.8258 0.5000
0.0033 0.1742 0.0000
0.5008 0.3193 0.2501
0.5008 0.3193 0.7499
0.0008 0.6807 0.7501
0.0008 0.6807 0.2499
0.9943 0.1908 0.5000
0.4943 0.8092 0.0000
0.3529 0.1633 0.0000
0.8529 0.8367 0.5000
0.3909 0.1395 0.5000
0.8909 0.8605 0.0000
0.3784 0.6658 0.7121
0.8785 0.3342 0.2121
0.8785 0.3342 0.7879
0.3784 0.6658 0.2879

---

(6)
CaMo2Ru | Alexandria via LeMat-Bulk | PBE-GGA | optimized geometry; polymorph energy (0 for the lowest one) = 417.8 meV/atom; DFT formation energy = 0.828 eV/atom; size of the total moment = 0.000 μB per atom; SG = P4/mmm (123)
1.0
-0.6673 -0.2997 -4.7396
3.6796 -3.0585 -0.3247
-1.8454 -2.2630 0.4029
Ru Mo Ca
1 2 1
Direct
0.5000 0.0000 0.5000
0.0000 0.0000 0.0000
0.5000 0.5000 0.0000
0.0000 0.5000 0.5000

---

Question: Which value of size of the total moment does entry 4 give?
Answer: 0.477 μB per atom